(1)
Computed, not measured: a geometry-optimized Sm4Tl structure at the PBE-GGA level of DFT.

abc: 5.349 6.890 9.401
angles: 111.53 106.53 90.00
Fractional coordinates of all 10 atoms:
Sm (0.698, 0.190, 0.397)
Sm (0.302, 0.293, 0.603)
Sm (0.500, 0.000, 0.000)
Sm (0.500, 0.500, 0.000)
Sm (0.103, 0.353, 0.206)
Sm (0.897, 0.647, 0.794)
Sm (0.302, 0.810, 0.603)
Sm (0.698, 0.707, 0.397)
Tl (0.109, 0.859, 0.218)
Tl (0.891, 0.141, 0.782)

Results
The value obtained for the final energy is -4.3148 eV/atom. The density of states at the Fermi level comes out at 13.13 states/eV per cell. The value obtained for the total moment is 0.00 μB/cell.

(2)
Computed, not measured: a geometry-optimized SrLa2Ir structure at the PBE-GGA level of DFT.

abc: 4.193 4.193 11.484
angles: 79.48 79.48 60.00
Fractional coordinates of all 4 atoms:
Sr (0.000, 0.000, 0.000)
Ir (0.500, 0.500, 0.500)
La (0.879, 0.879, 0.364)
La (0.121, 0.121, 0.636)

Results
The value obtained for the final energy is -5.4577 eV/atom. The density of states at the Fermi level comes out at 4.55 states/eV per cell. The value obtained for the total moment is 0.00 μB/cell.

(3)
Computed, not measured: a geometry-optimized ZnAgCl2 structure at the PBE-GGA level of DFT.

abc: 7.458 7.458 7.458
angles: 152.82 141.29 47.94
Fractional coordinates of all 4 atoms:
Cl (0.918, 0.918, 0.000)
Cl (0.652, 0.152, 0.500)
Ag (0.392, 0.892, 0.500)
Zn (0.537, 0.537, 0.000)

Results
The density of states at the Fermi level comes out at 1.51 states/eV per cell. The value obtained for the total moment is 0.00 μB/cell. The calculation puts the raw formation energy at -0.3596 eV/atom.

(4)
Computed, not measured: a geometry-optimized Cs2WBr2Cl4 structure at the PBE-GGA level of DFT.

abc: 7.605 7.605 7.605
angles: 90.71 119.59 119.59
Fractional coordinates of all 9 atoms:
W (0.000, 0.000, 0.000)
Br (0.000, 0.241, 0.241)
Br (0.000, 0.759, 0.759)
Cl (0.557, 0.779, 0.779)
Cl (0.000, 0.221, 0.779)
Cl (0.443, 0.221, 0.221)
Cl (0.000, 0.779, 0.221)
Cs (0.500, 0.750, 0.250)
Cs (0.500, 0.250, 0.750)

Results
The density of states at the Fermi level comes out at 8.72 states/eV per cell. The value obtained for the total moment is 2.00 μB/cell. The calculation puts the raw formation energy at -1.3093 eV/atom.

(5)
Computed, not measured: a geometry-optimized ZrVZn3 structure at the PBE-GGA level of DFT.

abc: 4.611 4.611 4.611
angles: 90.00 90.00 90.00
Fractional coordinates of all 5 atoms:
Zn (0.000, 0.000, 0.500)
Zn (0.000, 0.500, 0.000)
Zn (0.500, 0.000, 0.000)
V (0.000, 0.000, 0.000)
Zr (0.500, 0.500, 0.500)

Results
The value obtained for the final energy is -3.6216 eV/atom. The density of states at the Fermi level comes out at 3.11 states/eV per cell. The value obtained for the total moment is 1.40 μB/cell.

(6)
Computed, not measured: a geometry-optimized CaGd4Tm structure at the PBE-GGA level of DFT.

abc: 6.650 6.650 6.650
angles: 60.00 60.00 60.00
Fractional coordinates of all 6 atoms:
Gd (0.627, 0.119, 0.627)
Gd (0.627, 0.627, 0.627)
Gd (0.119, 0.627, 0.627)
Gd (0.627, 0.627, 0.119)
Tm (0.000, 0.000, 0.000)
Ca (0.250, 0.250, 0.250)

Results
The value obtained for the final energy is -10.2465 eV/atom. The density of states at the Fermi level comes out at 10.85 states/eV per cell. The value obtained for the total moment is 29.46 μB/cell.

(7)
Computed, not measured: a geometry-optimized La2Sc2Pb structure at the PBE-GGA level of DFT.

abc: 8.472 8.472 4.214
angles: 90.00 90.00 90.00
Fractional coordinates of all 10 atoms:
Pb (0.000, 0.000, 0.000)
Pb (0.500, 0.500, 0.000)
Sc (0.171, 0.671, 0.500)
Sc (0.329, 0.171, 0.500)
Sc (0.671, 0.829, 0.500)
Sc (0.829, 0.329, 0.500)
La (0.865, 0.635, 0.000)
La (0.365, 0.865, 0.000)
La (0.635, 0.135, 0.000)
La (0.135, 0.365, 0.000)

Results
The value obtained for the final energy is -5.1233 eV/atom. The density of states at the Fermi level comes out at 12.43 states/eV per cell. The value obtained for the total moment is 0.00 μB/cell.

(8)
Computed, not measured: a geometry-optimized NdTm8Cd2 structure at the PBE-GGA level of DFT.

abc: 5.514 8.185 8.185
angles: 87.25 81.63 81.63
Fractional coordinates of all 11 atoms:
Tm (0.125, 0.730, 0.730)
Tm (0.286, 0.426, 0.426)
Tm (0.785, 0.647, 0.140)
Tm (0.875, 0.270, 0.270)
Tm (0.215, 0.353, 0.860)
Tm (0.714, 0.574, 0.574)
Tm (0.215, 0.860, 0.353)
Tm (0.785, 0.140, 0.647)
Cd (0.554, 0.857, 0.857)
Cd (0.446, 0.143, 0.143)
Nd (0.000, 0.000, 0.000)

Results
The value obtained for the final energy is -3.5193 eV/atom. The density of states at the Fermi level comes out at 15.48 states/eV per cell. The value obtained for the total moment is 0.00 μB/cell.

(9)
Computed, not measured: a geometry-optimized Rb4Ac3US8 structure at the PBE-GGA level of DFT.

abc: 8.771 9.246 8.771
angles: 118.34 120.00 90.00
Fractional coordinates of all 16 atoms:
S (0.775, 0.302, 0.026)
S (0.775, 0.302, 0.550)
S (0.264, 0.293, 0.529)
S (0.225, 0.698, 0.450)
S (0.225, 0.698, 0.974)
S (0.251, 0.302, 0.026)
S (0.749, 0.698, 0.974)
S (0.736, 0.707, 0.471)
Ac (0.000, 0.500, 0.500)
Ac (0.500, 0.500, 0.500)
Ac (0.500, 0.500, 0.000)
Rb (0.000, 0.000, 0.500)
Rb (0.000, 0.000, 0.000)
Rb (0.500, 0.000, 0.500)
Rb (0.500, 0.000, 0.000)
U (0.000, 0.500, 0.000)

Results
The density of states at the Fermi level comes out at 6.79 states/eV per cell. The value obtained for the total moment is 3.01 μB/cell. The calculation puts the raw formation energy at -1.7181 eV/atom.

(10)
Computed, not measured: a geometry-optimized ScTcBIr2 structure at the PBE-GGA level of DFT.

abc: 4.751 4.061 4.751
angles: 90.00 90.00 90.00
Fractional coordinates of all 5 atoms:
B (0.000, 0.500, 0.000)
Ir (0.500, 0.000, 0.000)
Ir (0.000, 0.000, 0.500)
Tc (0.000, 0.000, 0.000)
Sc (0.500, 0.500, 0.500)

Results
The value obtained for the final energy is -7.4458 eV/atom. The density of states at the Fermi level comes out at 3.39 states/eV per cell. The value obtained for the total moment is 0.00 μB/cell.

(11)
Computed, not measured: a geometry-optimized MgIn3Rh4 structure at the PBE-GGA level of DFT.

abc: 4.537 4.537 7.161
angles: 108.43 108.47 90.00
Fractional coordinates of all 8 atoms:
Rh (0.875, 0.875, 0.751)
Rh (0.625, 0.625, 0.249)
Rh (0.375, 0.375, 0.751)
Rh (0.125, 0.125, 0.249)
In (0.747, 0.247, 0.495)
In (0.000, 0.500, 0.000)
In (0.253, 0.753, 0.505)
Mg (0.500, 0.000, 0.000)

Results
The value obtained for the final energy is -5.4109 eV/atom. The density of states at the Fermi level comes out at 1.59 states/eV per cell. The value obtained for the total moment is 0.00 μB/cell.

(12)
Computed, not measured: a geometry-optimized CeHoThTc structure at the PBE-GGA level of DFT.

abc: 4.448 4.448 6.918
angles: 90.10 108.73 119.86
Fractional coordinates of all 4 atoms:
Ho (0.376, 0.053, 0.429)
Th (0.955, 0.842, 0.797)
Tc (0.534, 0.631, 0.165)
Ce (0.827, 0.279, 0.105)

Results
The value obtained for the final energy is -6.9008 eV/atom. The density of states at the Fermi level comes out at 5.22 states/eV per cell. The value obtained for the total moment is 0.00 μB/cell.